1.
! YZnSi (SCAN, PBEsol geometry); values from VASP
&SYSTEM
  ibrav = 0, nat = 3, ntyp = 3
/
ATOMIC_SPECIES
Y 88.91 Y.upf
Zn 65.41 Zn.upf
Si 28.09 Si.upf
CELL_PARAMETERS angstrom
4.059 0.000 0.000
-2.030 3.515 0.000
0.000 0.000 3.993
ATOMIC_POSITIONS crystal
Y 0.000 0.000 0.000
Zn 0.667 0.333 0.500
Si 0.333 0.667 0.500
! energy relative to the elements, uncorrected: -0.733 eV/atom


2.
! Y2CrRe (SCAN, PBEsol geometry); values from VASP
&SYSTEM
  ibrav = 0, nat = 4, ntyp = 3
/
ATOMIC_SPECIES
Y 88.91 Y.upf
Cr 52.00 Cr.upf
Re 186.21 Re.upf
CELL_PARAMETERS angstrom
-1.667 2.441 4.987
1.667 -2.441 4.987
1.667 2.441 -4.987
ATOMIC_POSITIONS crystal
Y 0.000 0.000 0.000
Y 0.719 0.219 0.500
Cr 0.280 0.780 0.500
Re 0.443 0.443 0.000
! energy of formation from the pure elements: 196 meV per atom


3.
! CaMgTe3 (SCAN, PBEsol geometry); values from VASP
&SYSTEM
  ibrav = 0, nat = 5, ntyp = 3
/
ATOMIC_SPECIES
Ca 40.08 Ca.upf
Mg 24.30 Mg.upf
Te 127.60 Te.upf
CELL_PARAMETERS angstrom
5.699 0.000 0.000
0.000 5.699 0.000
0.000 0.000 5.699
ATOMIC_POSITIONS crystal
Ca 0.000 0.000 0.000
Mg 0.500 0.500 0.500
Te 0.000 0.000 0.500
Te 0.000 0.500 0.000
Te 0.500 0.000 0.000
! energy relative to the elements, uncorrected: 0.007 eV/atom
! energy above the most stable polymorph in this dataset: 485.8 meV/atom


no.,magnetic moment (μB per formula unit)
1,0.00
2,0.00
3,1.80